(1)
CoPb: relaxed, PBE-GGA.

The structure belongs to space group Fm-3m (No. 225); the cell edges are 5.326, 5.326 and 5.326 Å and the angles 90.00°, 90.00° and 90.00°. Symmetry generates all atoms from Co at (0.000, 0.000, 0.000) and Pb at (0.000, 0.000, 0.500).

Its raw total energy is -37.9 eV/cell. For the volume, the calculation gives 18.88 Å³/atom. The calculation puts the magnetic moment at 0.00 μB per formula unit.

=====

(2)
LiSnAu: relaxed, PBE-GGA.

The structure belongs to space group P-62m (No. 189); the cell edges are 7.8274, 7.8274 and 3.3235 Å and the angles 90.00°, 90.00° and 120.00°. Symmetry generates all atoms from Li at (0.0000, 0.6277, 0.0000), Sn at (0.0000, 0.2975, 0.5000), Au at (0.0000, 0.0000, 0.0000) and Au at (0.3333, 0.6667, 0.5000).

Its raw total energy is -31.5 eV/cell. For the volume, the calculation gives 19.59 Å³/atom. The value obtained for the polymorph energy (0 for the lowest one) is 0.0 meV per atom.

=====

(3)
Sm4PI5: relaxed, PBE-GGA.

The structure belongs to space group C2/m (No. 12); the cell edges are 19.313, 4.202 and 8.911 Å and the angles 90.00°, 102.72° and 90.00°. Symmetry generates all atoms from Sm at (0.001, 0.000, 0.294), Sm at (0.143, 0.500, 0.572), P at (0.000, 0.500, 0.500), I at (0.000, 0.500, 0.000), I at (0.165, 0.000, 0.839) and I at (0.171, 0.000, 0.324).

Its raw total energy is -91.6 eV/cell. For the volume, the calculation gives 35.27 Å³/atom. The calculation puts the magnetic moment at 0.01 μB per formula unit.

=====

(4)
TlCuSbIr: relaxed, PBE-GGA.

The structure belongs to space group F-43m (No. 216); the cell edges are 6.689, 6.689 and 6.689 Å and the angles 90.00°, 90.00° and 90.00°. Symmetry generates all atoms from Tl at (0.000, 0.000, 0.000), Cu at (0.250, 0.250, 0.750), Sb at (0.000, 0.000, 0.500) and Ir at (0.250, 0.250, 0.250).

Its raw total energy is -70.2 eV/cell. For the volume, the calculation gives 18.71 Å³/atom. The calculation puts the magnetic moment at 0.00 μB per formula unit. The value obtained for the polymorph energy (0 for the lowest one) is 0.0 meV per atom.

=====

(5)
TbDyZn2Ge2: relaxed, PBE-GGA.

The structure belongs to space group P6_3/mmc (No. 194); the cell edges are 4.2388, 4.2388 and 15.6869 Å and the angles 90.00°, 90.00° and 120.00°. Symmetry generates all atoms from Tb at (0.0000, 0.0000, 0.0000), Dy at (0.0000, 0.0000, 0.2500), Zn at (0.3333, 0.6667, 0.1469) and Ge at (0.3333, 0.6667, 0.6141).

Its raw total energy is -50.1 eV/cell. For the volume, the calculation gives 20.34 Å³/atom. The calculation puts the magnetic moment at 0.00 μB per formula unit. The value obtained for the polymorph energy (0 for the lowest one) is 0.0 meV per atom.

=====

(6)
Cs2ZrOF4: relaxed, PBE-GGA.

The structure belongs to space group Cmcm (No. 63); the cell edges are 6.545, 14.071 and 6.948 Å and the angles 90.00°, 90.00° and 90.00°. Symmetry generates all atoms from Cs at (0.000, 0.043, 0.250), Cs at (0.000, 0.260, 0.750), Zr at (0.000, 0.373, 0.250), O at (0.000, 0.243, 0.250) and F at (0.219, 0.399, 0.044).

Its raw total energy is -188.9 eV/cell. For the volume, the calculation gives 20.00 Å³/atom. The calculation puts the magnetic moment at 0.00 μB per formula unit.

=====

(7)
NbInCuIr: relaxed, PBE-GGA.

The structure belongs to space group F-43m (No. 216); the cell edges are 6.388, 6.388 and 6.388 Å and the angles 90.00°, 90.00° and 90.00°. Symmetry generates all atoms from Nb at (0.000, 0.000, 0.000), In at (0.250, 0.250, 0.250), Cu at (0.000, 0.000, 0.500) and Ir at (0.250, 0.250, 0.750).

Its raw total energy is -102.0 eV/cell. For the volume, the calculation gives 16.29 Å³/atom. The calculation puts the magnetic moment at 0.00 μB per formula unit. The value obtained for the polymorph energy (0 for the lowest one) is 158.8 meV per atom.

=====

(8)
BaSiAg2Te2S2: relaxed, PBE-GGA.

The structure belongs to space group Fmm2 (No. 42); the cell edges are 9.911, 10.738 and 8.505 Å and the angles 90.00°, 90.00° and 90.00°. Symmetry generates all atoms from Ba at (0.000, 0.000, 0.000), Si at (0.000, 0.000, 0.471), Ag at (0.250, 0.250, 0.271), Te at (0.000, 0.192, 0.647) and S at (0.181, 0.000, 0.337).

Its raw total energy is -132.1 eV/cell. For the volume, the calculation gives 28.29 Å³/atom. The value obtained for the polymorph energy (0 for the lowest one) is 7.8 meV per atom.